1.
# Li2PbN (PBE-GGA, relaxed)
data_Li2PbN
_chemical_formula_sum 'Li8 Pb4 N4'
_cell_length_a 6.194
_cell_length_b 6.194
_cell_length_c 6.194
_cell_angle_alpha 90.00
_cell_angle_beta 90.00
_cell_angle_gamma 90.00
_symmetry_space_group_name_H-M 'F m -3 m'
_symmetry_Int_Tables_number 225
_symmetry_space_group_name_Hall '-F 4 2 3'
loop_
_atom_site_label
_atom_site_type_symbol
_atom_site_fract_x
_atom_site_fract_y
_atom_site_fract_z
Li1 Li 0.250 0.250 0.250
Pb1 Pb 0.000 0.000 0.000
N1 N 0.000 0.000 0.500
# ΔE to the lowest computed polymorph, meV/atom: 273.8
# Volume, Å³ per cell: 237.6



2.
# ZnReOs2 (PBE-GGA, relaxed)
data_ZnReOs2
_chemical_formula_sum 'Zn2 Re2 Os4'
_cell_length_a 9.071
_cell_length_b 2.745
_cell_length_c 4.726
_cell_angle_alpha 90.00
_cell_angle_beta 99.78
_cell_angle_gamma 90.00
_symmetry_space_group_name_H-M 'C 1 2/m 1'
_symmetry_Int_Tables_number 12
_symmetry_space_group_name_Hall '-C 2y'
loop_
_atom_site_label
_atom_site_type_symbol
_atom_site_fract_x
_atom_site_fract_y
_atom_site_fract_z
Zn1 Zn 0.000 0.000 0.000
Re1 Re 0.000 0.500 0.500
Os1 Os 0.241 0.000 0.747
# Formation energy, eV per atom: 0.248
# Volume, Å³ per cell: 116.0



How do the records compare in size of the total moment? In the order shown, they have 0.000; 0.000 μB per atom.